First-principles (PBE) data for crystalline Dy4AsPbS2 at its relaxed geometry, as listed in Alexandria.

Its formation energy without anion corrections is -1.453 eV/atom. The calculation puts the total moment at 0.00 μB per formula unit. The density of states at the Fermi level comes out at 0.3417 states/eV per atom. As for the density: 8.454 g cm⁻³.

The space group is P2/m (No. 10) and the conventional cell measures 7.115, 4.058 and 7.181 Å, with angles of 90.00, 109.30 and 90.00 degrees. The inequivalent atoms are Dy at (0.231, 0.000, 0.231), Dy at (0.243, 0.500, 0.757), As at (0.500, 0.000, 0.000), Pb at (0.500, 0.500, 0.500), S at (0.000, 0.000, 0.500) and S at (0.000, 0.500, 0.000).